Run 1
Crystalline ScCd4 at its relaxed geometry. Source: the Alexandria database, functional PBE-GGA.

**Space group**: I4/m

abc: 4.650 5.393 5.393
angles: 79.29 115.54 115.54
Fractional positions:
Cd  0.586  0.788  0.384
Cd  0.414  0.212  0.616
Cd  0.202  0.616  0.788
Cd  0.798  0.384  0.212
Sc  0.000  0.000  0.000

---

Run 2
Crystalline ScCd4 at its relaxed geometry. Source: the Alexandria database, functional PBE-GGA.

**Space group**: I4/mmm

abc: 7.367 7.367 7.367
angles: 147.13 147.13 47.17
Fractional positions:
Sc  0.000  0.000  0.000
Cd  0.250  0.750  0.500
Cd  0.600  0.600  0.000
Cd  0.400  0.400  0.000
Cd  0.750  0.250  0.500

---

Run 3
Crystalline ScCd4 at its relaxed geometry. Source: the Alexandria database, functional PBE-GGA.

**Space group**: Immm

abc: 3.256 3.349 10.334
angles: 99.33 99.07 90.00
Last column: magnetic moment on the atom in μB.
Fractional positions:
Sc  0.000  0.000  0.000  0.32
Cd  0.600  0.600  0.200  0.01
Cd  0.200  0.200  0.399  0.00
Cd  0.800  0.800  0.601  0.00
Cd  0.400  0.400  0.800  0.01

---

Run 4
Crystalline ScCd4 at its relaxed geometry. Source: the Alexandria database, functional PBE-GGA.

**Space group**: P-1

abc: 5.208 6.234 15.776
angles: 143.07 89.36 115.19
Fractional positions:
Sc  0.383  0.096  0.749
Sc  0.217  0.104  0.251
Cd  0.575  0.486  0.546
Cd  0.788  0.913  0.355
Cd  0.186  0.709  0.952
Cd  0.812  0.287  0.645
Cd  0.971  0.281  0.143
Cd  0.414  0.491  0.048
Cd  0.629  0.919  0.857
Cd  0.025  0.714  0.454

---

Verdict on stability: run 3 comes out on top.

---

Run 1
Crystalline ScCd4 at its relaxed geometry. Source: the Alexandria database, functional PBE-GGA.

**Space group**: Im-3m

abc: 5.858 5.858 5.858
angles: 109.47 109.47 109.47
Fractional positions:
Sc  0.000  0.000  0.000
Cd  0.500  0.000  0.000
Cd  0.500  0.500  0.500
Cd  0.000  0.500  0.000
Cd  0.000  0.000  0.500

---

Run 2
Crystalline ScCd4 at its relaxed geometry. Source: the Alexandria database, functional PBE-GGA.

**Space group**: Pm-3m

abc: 5.675 5.675 5.675
angles: 90.00 90.00 90.00
Last column: magnetic moment on the atom in μB.
Fractional positions:
Sc  0.500  0.500  0.500  0.41
Cd  0.000  0.000  0.000  0.01
Cd  0.500  0.000  0.500  0.03
Cd  0.000  0.500  0.500  0.03
Cd  0.500  0.500  0.000  0.03

---

Verdict on stability: run 1 comes out on top.

---

Run 1
Crystalline Sc4Cd5 at its relaxed geometry. Source: the Alexandria database, functional PBE-GGA.

**Space group**: P6_3/mcm

abc: 8.722 8.722 6.099
angles: 90.00 90.00 60.00
Fractional positions:
Cd  0.314  0.686  0.250
Cd  0.000  0.314  0.250
Cd  0.686  0.000  0.250
Cd  0.686  0.314  0.750
Cd  0.000  0.686  0.750
Cd  0.314  0.000  0.750
Cd  0.333  0.333  0.000
Cd  0.667  0.667  0.500
Cd  0.667  0.667  0.000
Cd  0.333  0.333  0.500
Sc  0.000  0.000  0.000
Sc  0.000  0.000  0.500
Sc  0.649  0.351  0.250
Sc  0.000  0.649  0.250
Sc  0.351  0.000  0.250
Sc  0.351  0.649  0.750
Sc  0.000  0.351  0.750
Sc  0.649  0.000  0.750

---

Run 2
Crystalline Sc4Cd5 at its relaxed geometry. Source: the Alexandria database, functional PBE-GGA.

**Space group**: I4/mmm

abc: 4.682 6.963 6.963
angles: 96.49 109.65 70.35
Fractional positions:
Cd  0.000  0.000  0.000
Cd  0.333  0.000  0.665
Cd  0.333  0.335  0.000
Cd  0.667  0.665  0.000
Cd  0.667  0.000  0.335
Sc  0.000  0.328  0.328
Sc  0.000  0.672  0.672
Sc  0.328  0.672  0.328
Sc  0.672  0.328  0.672

---

Verdict on stability: run 1 comes out on top.

---

Run 1
Crystalline Sc5Cd4 at its relaxed geometry. Source: the Alexandria database, functional PBE-GGA.

**Space group**: P6_3/mcm

abc: 8.727 8.727 6.210
angles: 90.00 90.00 60.00
Fractional positions:
Cd  0.000  0.000  0.000
Cd  0.000  0.000  0.500
Cd  0.639  0.361  0.250
Cd  0.000  0.639  0.250
Cd  0.361  0.000  0.250
Cd  0.361  0.639  0.750
Cd  0.000  0.361  0.750
Cd  0.639  0.000  0.750
Sc  0.309  0.691  0.250
Sc  0.000  0.309  0.250
Sc  0.691  0.000  0.250
Sc  0.691  0.309  0.750
Sc  0.000  0.691  0.750
Sc  0.309  0.000  0.750
Sc  0.333  0.333  0.000
Sc  0.667  0.667  0.500
Sc  0.667  0.667  0.000
Sc  0.333  0.333  0.500

---

Run 2
Crystalline Sc5Cd4 at its relaxed geometry. Source: the Alexandria database, functional PBE-GGA.

**Space group**: I4/mmm

abc: 7.082 7.082 7.082
angles: 95.72 95.72 143.21
Last column: magnetic moment on the atom in μB.
Fractional positions:
Sc  0.000  0.000  0.000  0.34
Sc  0.332  0.668  0.000  0.26
Sc  0.668  0.668  0.336  0.26
Sc  0.332  0.332  0.664  0.26
Sc  0.668  0.332  0.000  0.26
Cd  0.333  0.000  0.333  0.00
Cd  0.667  0.000  0.667  0.00
Cd  0.000  0.667  0.667  0.00
Cd  0.000  0.333  0.333  0.00

---

Verdict on stability: run 1 comes out on top.

---

Run 1
Crystalline ScCdSe at its relaxed geometry. Source: the Alexandria database, functional PBE-GGA.

**Space group**: I4mm

abc: 6.651 6.651 3.463
angles: 74.91 74.91 30.18
Fractional positions:
Cd  0.977  0.977  0.023
Sc  0.308  0.308  0.692
Se  0.715  0.715  0.285

---

Run 2
Crystalline ScCdSe at its relaxed geometry. Source: the Alexandria database, functional PBE-GGA.

**Space group**: P3m1

abc: 3.785 3.785 6.176
angles: 90.00 90.00 120.00
Fractional positions:
Cd  0.000  0.000  0.018
Sc  0.667  0.333  0.375
Se  0.333  0.667  0.607

---

Verdict on stability: run 1 comes out on top.

---

Run 1
Crystalline ScCdSe at its relaxed geometry. Source: the Alexandria database, functional PBE-GGA.

**Space group**: F-43m

abc: 4.752 4.752 4.752
angles: 60.00 60.00 60.00
Fractional positions:
Cd  0.000  0.000  0.000
Sc  0.500  0.500  0.500
Se  0.750  0.750  0.750

---

Run 2
Crystalline ScCdSe at its relaxed geometry. Source: the Alexandria database, functional PBE-GGA.

**Space group**: F-43m

abc: 4.750 4.750 4.750
angles: 60.00 60.00 60.00
Last column: magnetic moment on the atom in μB.
Fractional positions:
Cd  0.500  0.500  0.500  0.04
Sc  0.750  0.750  0.750  0.40
Se  0.000  0.000  0.000  0.01

---

Verdict on stability: run 2 comes out on top.

---

Run 1
Crystalline Sc3CdSe at its relaxed geometry. Source: the Alexandria database, functional PBE-GGA.

**Space group**: Pm-3m

abc: 4.993 4.993 4.993
angles: 90.00 90.00 90.00
Fractional positions:
Sc  0.000  0.500  0.000
Sc  0.000  0.000  0.500
Sc  0.500  0.000  0.000
Se  0.000  0.000  0.000
Cd  0.500  0.500  0.500

---

Run 2
Crystalline Sc3CdSe at its relaxed geometry. Source: the Alexandria database, functional PBE-GGA.

**Space group**: Pm-3m

abc: 5.238 5.238 5.238
angles: 90.00 90.00 90.00
Fractional positions:
Sc  0.000  0.500  0.000
Sc  0.000  0.000  0.500
Sc  0.500  0.000  0.000
Se  0.500  0.500  0.500
Cd  0.000  0.000  0.000

---

Verdict on stability: run 1 comes out on top.

---

Run 1
Crystalline Sc2Cd2Si at its relaxed geometry. Source: the Alexandria database, functional PBE-GGA.

**Space group**: P4/mbm

abc: 7.043 7.043 4.639
angles: 90.00 90.00 90.00
Fractional positions:
Sc  0.341  0.841  0.000
Sc  0.841  0.659  0.000
Sc  0.659  0.159  0.000
Sc  0.159  0.341  0.000
Si  0.000  0.000  0.000
Si  0.500  0.500  0.000
Cd  0.150  0.650  0.500
Cd  0.650  0.850  0.500
Cd  0.850  0.350  0.500
Cd  0.350  0.150  0.500

---

Run 2
Crystalline Sc2Cd2Si at its relaxed geometry. Source: the Alexandria database, functional PBE-GGA.

**Space group**: P4/mbm

abc: 6.907 6.907 4.468
angles: 90.00 90.00 90.00
Fractional positions:
Sc  0.167  0.667  0.500
Sc  0.667  0.833  0.500
Sc  0.833  0.333  0.500
Sc  0.333  0.167  0.500
Si  0.000  0.000  0.000
Si  0.500  0.500  0.000
Cd  0.361  0.861  0.000
Cd  0.861  0.639  0.000
Cd  0.639  0.139  0.000
Cd  0.139  0.361  0.000

---

Verdict on stability: run 2 comes out on top.